Record 1
VASP calculation (PBE-GGA) on a geometry-optimized KGaPCl2 structure.

Cell: 5.3026 5.3026 4.7629 Å, 90.00 90.00 90.00°
Closest atoms and distances in Å follow each position.
Element x y z (fractional)
P (0.0000, 0.0000, 0.5000)  2 Ga 2.38
K (0.5000, 0.5000, 0.5000)  8 Cl 3.56, 4 P 3.75
Ga (0.0000, 0.0000, 0.0000)  2 P 2.38, 4 Cl 2.65
Cl (0.0000, 0.5000, 0.0000)  2 Ga 2.65
Cl (0.5000, 0.0000, 0.0000)  2 Ga 2.65

Values from the calculation:
SG ... No. 123
Excess energy over the best structure of this formula in the dataset ... 0.0000 eV/atom
DFT total energy ... -16.304 eV/cell
Total magnetic moment ... 1.4 Bohr magnetons per cell

=====

Record 2
VASP calculation (PBE-GGA) on a geometry-optimized KPaGaCl6 structure.

Cell: 7.5114 7.5114 13.1020 Å, 90.00 90.00 120.00°
Closest atoms and distances in Å follow each position.
Element x y z (fractional)
K (0.0000, 0.0000, 0.0000)  6 Cl 3.25
K (0.0000, 0.0000, 0.5000)  6 Cl 3.25
Pa (0.6667, 0.3333, 0.2500)  6 Cl 2.66
Pa (0.3333, 0.6667, 0.7500)  6 Cl 2.66
Ga (0.3333, 0.6667, 0.2500)  6 Cl 3.02
Ga (0.6667, 0.3333, 0.7500)  6 Cl 3.02
Cl (0.6574, 0.6211, 0.1354)  1 Pa 2.66
Cl (0.9637, 0.3426, 0.1354)  1 Pa 2.66
Cl (0.3426, 0.9637, 0.6354)  1 Pa 2.66
Cl (0.0363, 0.6574, 0.8646)  1 Pa 2.66
Cl (0.3789, 0.3426, 0.3646)  1 Pa 2.66
Cl (0.9637, 0.6211, 0.3646)  1 Pa 2.66
Cl (0.6211, 0.9637, 0.8646)  1 Pa 2.66
Cl (0.6574, 0.0363, 0.3646)  1 Pa 2.66
Cl (0.0363, 0.3789, 0.6354)  1 Pa 2.66
Cl (0.3789, 0.0363, 0.1354)  1 Pa 2.66
Cl (0.6211, 0.6574, 0.6354)  1 Pa 2.66
Cl (0.3426, 0.3789, 0.8646)  1 Pa 2.66

Values from the calculation:
SG ... No. 163
DFT total energy ... -79.836 eV/cell
Total magnetic moment ... 2.0 Bohr magnetons per cell

=====

Record 3
VASP calculation (PBE-GGA) on a geometry-optimized KGaPb2Cl8 structure.

Cell: 6.6301 6.3691 8.6716 Å, 89.90 90.03 88.53°
Closest atoms and distances in Å follow each position.
Element x y z (fractional)
K (0.0000, 0.0000, 0.5000)  6 Cl 3.03-3.11
Ga (0.0000, 0.0000, 0.0000)  6 Cl 2.40-2.46
Pb (0.5001, 0.4994, 0.7597)  6 Cl 2.83-3.07
Pb (0.4999, 0.5006, 0.2403)  6 Cl 2.83-3.07
Cl (0.1448, 0.7807, 0.1986)  1 Ga 2.40
Cl (0.6996, 0.7802, 0.9995)  1 Ga 2.46
Cl (0.8542, 0.2181, 0.1977)  1 Ga 2.40
Cl (0.8552, 0.2193, 0.8014)  1 Ga 2.40
Cl (0.3004, 0.2198, 0.0005)  1 Ga 2.46
Cl (0.1458, 0.7819, 0.8023)  1 Ga 2.40
Cl (0.6330, 0.7263, 0.5000)  2 Pb 2.83, 1 K 3.03
Cl (0.3670, 0.2737, 0.5000)  2 Pb 2.83, 1 K 3.03

Values from the calculation:
SG ... No. 2
DFT total energy ... -40.949 eV/cell
Total magnetic moment ... 0.0 Bohr magnetons per cell

=====

Record 4
VASP calculation (PBE-GGA) on a geometry-optimized KGa2PdCl8 structure.

Cell: 7.1745 7.1745 8.6502 Å, 90.00 90.00 120.00°
Closest atoms and distances in Å follow each position.
Element x y z (fractional)
K (0.0000, 0.0000, 0.5000)  6 Cl 3.33
Ga (0.3333, 0.6667, 0.7222)  4 Cl 2.18-2.23
Ga (0.6667, 0.3333, 0.2778)  4 Cl 2.18-2.23
Pd (0.0000, 0.0000, 0.0000)  6 Cl 2.64
Cl (0.1634, 0.3268, 0.8049)  1 Ga 2.23
Cl (0.1634, 0.8366, 0.8049)  1 Ga 2.23
Cl (0.6732, 0.8366, 0.8049)  1 Ga 2.23
Cl (0.3268, 0.1634, 0.1951)  1 Ga 2.23
Cl (0.6667, 0.3333, 0.5304)  1 Ga 2.18
Cl (0.3333, 0.6667, 0.4696)  1 Ga 2.18
Cl (0.8366, 0.6732, 0.1951)  1 Ga 2.23
Cl (0.8366, 0.1634, 0.1951)  1 Ga 2.23

Values from the calculation:
SG ... No. 164
DFT total energy ... -39.808 eV/cell
Total magnetic moment ... 1.0 Bohr magnetons per cell

=====

Record 5
VASP calculation (PBE-GGA) on a geometry-optimized K2PmGaCl6 structure.

Cell: 7.6780 7.6783 7.9495 Å, 61.12 61.12 59.99°
Closest atoms and distances in Å follow each position.
Element x y z (fractional)
K (0.5332, 0.5332, 0.4004)  6 Cl 3.18-3.29
K (0.0257, 0.0257, 0.9229)  6 Cl 3.15-3.25
Pm (0.3208, 0.3208, 0.0377)  6 Cl 2.72-2.76
Ga (0.8123, 0.8123, 0.5632)  6 Cl 2.95-3.16
Cl (0.5744, 0.1924, 0.2533)  1 Pm 2.72
Cl (0.1924, 0.9798, 0.2533)  1 Pm 2.72
Cl (0.9799, 0.5745, 0.2533)  1 Pm 2.72
Cl (0.4466, 0.6671, 0.7770)  1 Pm 2.76, 1 Ga 2.95
Cl (0.6671, 0.1093, 0.7770)  1 Pm 2.76, 1 Ga 2.95
Cl (0.1093, 0.4466, 0.7771)  1 Pm 2.76, 1 Ga 2.95

Values from the calculation:
SG ... No. 146
DFT total energy ... -39.630 eV/cell
Total magnetic moment ... 0.0 Bohr magnetons per cell

=====

Record 6
VASP calculation (PBE-GGA) on a geometry-optimized KPu2GaCl8 structure.

Cell: 6.9912 6.8118 8.5427 Å, 90.01 90.00 87.08°
Closest atoms and distances in Å follow each position.
Element x y z (fractional)
K (0.0000, 0.0000, 0.5000)  6 Cl 3.08-3.28
Pu (0.5000, 0.5000, 0.7525)  6 Cl 2.67-2.78
Pu (0.5000, 0.5000, 0.2475)  6 Cl 2.67-2.78
Ga (0.0000, 0.0000, 0.0000)  6 Cl 2.95-3.25
Cl (0.1934, 0.7494, 0.2396)  1 Pu 2.67, 1 Ga 2.95
Cl (0.6496, 0.7050, 0.0000)  2 Pu 2.77
Cl (0.8066, 0.2506, 0.2396)  1 Pu 2.67, 1 Ga 2.95
Cl (0.8066, 0.2506, 0.7604)  1 Pu 2.67, 1 Ga 2.95
Cl (0.3504, 0.2950, 0.0000)  2 Pu 2.77
Cl (0.1934, 0.7494, 0.7604)  1 Pu 2.67, 1 Ga 2.95
Cl (0.6455, 0.7026, 0.5000)  2 Pu 2.78
Cl (0.3545, 0.2974, 0.5000)  2 Pu 2.78

Values from the calculation:
SG ... No. 10
DFT total energy ... -68.097 eV/cell
Total magnetic moment ... 10.0 Bohr magnetons per cell